1.
Material: Rb2MgGa
Method: DFT, GGA-PBE
State: relaxed

Computed properties:
Symmetry: No. 225
Polymorph energy (0 for the lowest one), eV per atom: 0.141

a b c (Å): 6.311 6.311 6.311
angles (deg): 60.00 60.00 60.00
Positions (direct):
1 Rb 0.250 0.250 0.250
2 Rb 0.750 0.750 0.750
3 Mg 0.000 0.000 0.000
4 Ga 0.500 0.500 0.500

***

2.
Material: RbMg6Ga
Method: DFT, GGA-PBE
State: relaxed

Computed properties:
Symmetry: No. 38
Polymorph energy (0 for the lowest one), eV per atom: 0.011

a b c (Å): 5.099 6.678 6.678
angles (deg): 69.02 90.00 90.00
Positions (direct):
1 Rb 0.000 0.000 0.000
2 Mg 0.000 0.513 0.946
3 Mg 0.000 0.946 0.513
4 Mg 0.500 0.251 0.251
5 Mg 0.500 0.311 0.704
6 Mg 0.500 0.704 0.311
7 Mg 0.500 0.767 0.767
8 Ga 0.000 0.423 0.423

***

3.
Material: RbMg2GaRh
Method: DFT, GGA-PBE
State: relaxed

Computed properties:
Symmetry: No. 123

a b c (Å): 5.181 5.181 4.874
angles (deg): 90.00 90.00 90.00
Positions (direct):
1 Rb 0.000 0.000 0.000
2 Mg 0.000 0.500 0.500
3 Mg 0.500 0.000 0.500
4 Ga 0.500 0.500 0.000
5 Rh 0.500 0.500 0.500

***

4.
Material: RbMgGa2Rh
Method: DFT, GGA-PBE
State: relaxed

Computed properties:
Symmetry: No. 123

a b c (Å): 4.901 4.901 5.152
angles (deg): 90.00 90.00 90.00
Positions (direct):
1 Rb 0.000 0.000 0.000
2 Mg 0.500 0.500 0.000
3 Ga 0.000 0.500 0.500
4 Ga 0.500 0.000 0.500
5 Rh 0.500 0.500 0.500

***

Per-record density, g cm⁻³: 2.476 2.354 3.893 4.726
Per-record E_tot, eV for the cell shown: -5.2 -12.1 -15.7 -17.4